MnGePO2 (PBE+U, relaxed); total energy = -29.74 eV/cell; magnetic moment = 4.284 Bohr magnetons per cell; polymorph energy (0 for the lowest one) = 0 kJ/mol of formula units; space group = P4/mmm (123)
1.0
3.6726 0.0000 0.0000
0.0000 3.6726 0.0000
0.0000 0.0000 5.2536
Mn Ge P O
1 1 1 2
Direct
0.0000 0.0000 0.0000 Mn
0.5000 0.5000 0.5000 Ge
0.5000 0.5000 0.0000 P
0.0000 0.5000 0.5000 O
0.5000 0.0000 0.5000 O